Entry 1:
Compound: ScHS
Source: the Alexandria database
Functional: PBE-GGA
Structure: optimized geometry

Cell: 3.499 3.499 4.314 Å, 113.92 113.92 90.00°
Atoms (fractional coordinates):
Sc1 0.631 0.631 0.263
H1 0.362 0.362 0.724
S1 0.007 0.007 0.013

Output
- Space-group type: I4mm
- Electronic total energy: -5.49 eV/atom

=====

Entry 2:
Compound: ScH2S
Source: the Alexandria database
Functional: PBE-GGA
Structure: optimized geometry

Cell: 3.477 3.477 4.396 Å, 66.71 66.71 60.00°
Atoms (fractional coordinates):
Sc1 0.000 0.000 0.000
H1 0.297 0.297 0.110
H2 0.703 0.703 0.890
S1 0.500 0.500 0.500

Output
- Space-group type: R-3m
- Electronic total energy: -4.78 eV/atom

=====

Entry 3:
Compound: Sc2HS3
Source: the Alexandria database
Functional: PBE-GGA
Structure: optimized geometry

Cell: 3.534 10.698 9.849 Å, 90.00 90.00 90.00°
Atoms (fractional coordinates):
Sc1 0.250 0.677 0.454
Sc2 0.750 0.323 0.546
Sc3 0.750 0.177 0.046
Sc4 0.250 0.823 0.954
Sc5 0.250 0.014 0.305
Sc6 0.750 0.986 0.695
Sc7 0.750 0.514 0.195
Sc8 0.250 0.486 0.805
H1 0.250 0.123 0.135
H2 0.750 0.877 0.865
H3 0.750 0.623 0.365
H4 0.250 0.377 0.635
S1 0.250 0.372 0.066
S2 0.750 0.628 0.934
S3 0.750 0.872 0.434
S4 0.250 0.128 0.566
S5 0.250 0.688 0.184
S6 0.750 0.312 0.816
S7 0.750 0.188 0.316
S8 0.250 0.812 0.684
S9 0.250 0.438 0.381
S10 0.750 0.562 0.619
S11 0.750 0.938 0.119
S12 0.250 0.062 0.881

Output
- Space-group type: Pnma
- Electronic total energy: -6.02 eV/atom

=====

Entry 4:
Compound: ScH2S
Source: the Alexandria database
Functional: PBE-GGA
Structure: optimized geometry

Cell: 3.863 3.863 3.863 Å, 60.00 60.00 60.00°
Atoms (fractional coordinates):
Sc1 0.500 0.500 0.500
H1 0.250 0.250 0.250
H2 0.750 0.750 0.750
S1 0.000 0.000 0.000

Output
- Space-group type: Fm-3m
- Electronic total energy: -4.52 eV/atom

=====

Entry 5:
Compound: Sc5HS4
Source: the Alexandria database
Functional: PBE-GGA
Structure: optimized geometry

Cell: 3.613 3.613 14.959 Å, 83.06 83.06 60.00°
Atoms (fractional coordinates):
Sc1 0.404 0.404 0.789
Sc2 0.000 0.000 0.000
Sc3 0.596 0.596 0.211
Sc4 0.804 0.804 0.587
Sc5 0.196 0.196 0.413
H1 0.500 0.500 0.500
S1 0.896 0.896 0.312
S2 0.299 0.299 0.104
S3 0.701 0.701 0.896
S4 0.104 0.104 0.688

Output
- Space-group type: R-3m
- Electronic total energy: -6.69 eV/atom

=====

Entry 6:
Compound: ScH2S
Source: the Alexandria database
Functional: PBE-GGA
Structure: optimized geometry

Cell: 3.556 3.556 8.467 Å, 77.88 77.88 90.00°
Atoms (fractional coordinates):
Sc1 0.000 0.000 0.000
Sc2 0.750 0.250 0.500
H1 0.875 0.125 0.250
H2 0.875 0.625 0.250
H3 0.375 0.125 0.750
H4 0.875 0.125 0.750
S1 0.500 0.500 0.000
S2 0.250 0.750 0.500

Output
- Space-group type: I4_1/amd
- Electronic total energy: -4.70 eV/atom

=====

Entry 7:
Compound: Sc2SnHS
Source: the Alexandria database
Functional: PBE-GGA
Structure: optimized geometry

Cell: 5.126 3.455 5.126 Å, 90.00 90.00 90.00°
Atoms (fractional coordinates):
Sc1 0.000 0.000 0.500
Sc2 0.500 0.000 0.000
H1 0.000 0.500 0.000
S1 0.000 0.000 0.000
Sn1 0.500 0.500 0.500

Output
- Space-group type: P4/mmm
- Electronic total energy: -5.41 eV/atom

=====

Entry 8:
Compound: Sc3TlHS
Source: the Alexandria database
Functional: PBE-GGA
Structure: optimized geometry

Cell: 3.664 7.924 8.149 Å, 103.22 90.00 90.00°
Atoms (fractional coordinates):
Sc1 0.250 0.830 0.454
Sc2 0.750 0.881 0.124
Sc3 0.750 0.443 0.170
Sc4 0.750 0.170 0.546
Sc5 0.250 0.557 0.830
Sc6 0.250 0.119 0.876
Tl1 0.750 0.814 0.740
Tl2 0.250 0.186 0.260
H1 0.250 0.080 0.607
H2 0.750 0.920 0.393
S1 0.250 0.662 0.150
S2 0.750 0.338 0.850

Output
- Space-group type: P2_1/m
- Electronic total energy: -5.66 eV/atom

=====

Question: Look up the electronic total energy of the second one.
Answer: -4.78 eV/atom